[1]
# K2MgTcH6 (GGA-PBE, relaxed)
data_K2MgTcH6
_chemical_formula_sum 'K4 Mg2 Tc2 H12'
_space_group_name_H-M_alt 'I 4/m m m'
_space_group_IT_number 139
_space_group_name_Hall '-I 4 2'
_cell_length_a 5.477
_cell_length_b 5.477
_cell_length_c 7.762
_cell_angle_alpha 90.00
_cell_angle_beta 90.00
_cell_angle_gamma 90.00
loop_
_atom_site_label
_atom_site_type_symbol
_atom_site_fract_x
_atom_site_fract_y
_atom_site_fract_z
_atom_site_occupancy
K1 K 0.000 0.500 0.250 1
Mg1 Mg 0.000 0.000 0.000 1
Tc1 Tc 0.000 0.000 0.500 1
H1 H 0.000 0.000 0.263 1
H2 H 0.237 0.237 0.500 1
# Crystal system   tetragonal
# Total moment   2.00 Bohr magnetons per cell

[2]
# K2NaMoH6 (GGA-PBE, relaxed)
data_K2NaMoH6
_chemical_formula_sum 'K4 Na2 Mo2 H12'
_space_group_name_H-M_alt 'C 1 2/m 1'
_space_group_IT_number 12
_space_group_name_Hall '-C 2y'
_cell_length_a 9.712
_cell_length_b 5.877
_cell_length_c 5.660
_cell_angle_alpha 90.00
_cell_angle_beta 122.94
_cell_angle_gamma 90.00
loop_
_atom_site_label
_atom_site_type_symbol
_atom_site_fract_x
_atom_site_fract_y
_atom_site_fract_z
_atom_site_occupancy
K1 K 0.248 0.000 0.252 1
Na1 Na 0.000 0.000 0.500 1
Mo1 Mo 0.000 0.500 0.000 1
H1 H 0.000 0.275 0.230 1
H2 H 0.228 0.500 0.221 1
# Crystal system   monoclinic
# Total moment   6.00 Bohr magnetons per cell

[3]
# K2MoH6Pd (GGA-PBE, relaxed)
data_K2MoH6Pd
_chemical_formula_sum 'K8 Mo4 H24 Pd4'
_space_group_name_H-M_alt 'F m -3 m'
_space_group_IT_number 225
_space_group_name_Hall '-F 4 2 3'
_cell_length_a 7.778
_cell_length_b 7.778
_cell_length_c 7.778
_cell_angle_alpha 90.00
_cell_angle_beta 90.00
_cell_angle_gamma 90.00
loop_
_atom_site_label
_atom_site_type_symbol
_atom_site_fract_x
_atom_site_fract_y
_atom_site_fract_z
_atom_site_occupancy
K1 K 0.250 0.250 0.250 1
Mo1 Mo 0.000 0.000 0.000 1
H1 H 0.000 0.000 0.252 1
Pd1 Pd 0.000 0.000 0.500 1
# Crystal system   cubic
# Total moment   13.98 Bohr magnetons per cell

[4]
# K2ZrMoH6 (GGA-PBE, relaxed)
data_K2ZrMoH6
_chemical_formula_sum 'K4 Zr2 Mo2 H12'
_space_group_name_H-M_alt 'P -3 1 c'
_space_group_IT_number 163
_space_group_name_Hall '-P 3 2c'
_cell_length_a 5.0600
_cell_length_b 5.0600
_cell_length_c 12.0730
_cell_angle_alpha 90.00
_cell_angle_beta 90.00
_cell_angle_gamma 120.00
loop_
_atom_site_label
_atom_site_type_symbol
_atom_site_fract_x
_atom_site_fract_y
_atom_site_fract_z
_atom_site_occupancy
K1 K 0.3333 0.6667 0.0654 1
Zr1 Zr 0.0000 0.0000 0.2500 1
Mo1 Mo 0.3333 0.6667 0.7500 1
H1 H 0.1800 0.3647 0.8582 1
# Crystal system   trigonal
# Total moment   0.00 Bohr magnetons per cell

[5]
# K2ZrH12N6 (GGA-PBE, relaxed)
data_K2ZrH12N6
_chemical_formula_sum 'K12 Zr6 H72 N36'
_space_group_name_H-M_alt 'R -3 c'
_space_group_IT_number 167
_space_group_name_Hall '-R 3 2"c'
_cell_length_a 6.4434
_cell_length_b 6.4434
_cell_length_c 32.2532
_cell_angle_alpha 90.00
_cell_angle_beta 90.00
_cell_angle_gamma 120.00
loop_
_atom_site_label
_atom_site_type_symbol
_atom_site_fract_x
_atom_site_fract_y
_atom_site_fract_z
_atom_site_occupancy
K1 K 0.0000 0.0000 0.1319 1
Zr1 Zr 0.0000 0.0000 0.2500 1
H1 H 0.0223 0.2119 0.0508 1
H2 H 0.0289 0.4576 0.6469 1
N1 N 0.0136 0.4638 0.3768 1
# Crystal system   trigonal
# Total moment   0.01 Bohr magnetons per cell

[6]
# K2NaNiH6 (GGA-PBE, relaxed)
data_K2NaNiH6
_chemical_formula_sum 'K8 Na4 Ni4 H24'
_space_group_name_H-M_alt 'F m -3 m'
_space_group_IT_number 225
_space_group_name_Hall '-F 4 2 3'
_cell_length_a 7.837
_cell_length_b 7.837
_cell_length_c 7.837
_cell_angle_alpha 90.00
_cell_angle_beta 90.00
_cell_angle_gamma 90.00
loop_
_atom_site_label
_atom_site_type_symbol
_atom_site_fract_x
_atom_site_fract_y
_atom_site_fract_z
_atom_site_occupancy
K1 K 0.250 0.250 0.250 1
Na1 Na 0.000 0.000 0.000 1
Ni1 Ni 0.000 0.000 0.500 1
H1 H 0.000 0.000 0.298 1
# Crystal system   cubic
# Total moment   0.01 Bohr magnetons per cell

[7]
# K2NaH6Os (GGA-PBE, relaxed)
data_K2NaH6Os
_chemical_formula_sum 'K4 Na2 H12 Os2'
_space_group_name_H-M_alt 'P -1'
_space_group_IT_number 2
_space_group_name_Hall '-P 1'
_cell_length_a 5.631
_cell_length_b 5.687
_cell_length_c 7.989
_cell_angle_alpha 89.92
_cell_angle_beta 89.47
_cell_angle_gamma 89.86
loop_
_atom_site_label
_atom_site_type_symbol
_atom_site_fract_x
_atom_site_fract_y
_atom_site_fract_z
_atom_site_occupancy
K1 K 0.001 0.000 0.249 1
K2 K 0.499 0.500 0.250 1
Na1 Na 0.000 0.500 0.000 1
Na2 Na 0.500 0.000 0.500 1
H1 H 0.011 0.501 0.717 1
H2 H 0.211 0.722 0.505 1
H3 H 0.212 0.279 0.506 1
H4 H 0.287 0.221 0.994 1
H5 H 0.290 0.777 0.997 1
H6 H 0.489 0.996 0.783 1
Os1 Os 0.000 0.500 0.500 1
Os2 Os 0.500 0.000 0.000 1
# Crystal system   triclinic
# Total moment   2.01 Bohr magnetons per cell

[8]
# KNaH4Pd (GGA-PBE, relaxed)
data_KNaH4Pd
_chemical_formula_sum 'K2 Na2 H8 Pd2'
_space_group_name_H-M_alt 'I -4 m 2'
_space_group_IT_number 119
_space_group_name_Hall 'I -4 -2'
_cell_length_a 5.535
_cell_length_b 5.535
_cell_length_c 7.057
_cell_angle_alpha 90.00
_cell_angle_beta 90.00
_cell_angle_gamma 90.00
loop_
_atom_site_label
_atom_site_type_symbol
_atom_site_fract_x
_atom_site_fract_y
_atom_site_fract_z
_atom_site_occupancy
K1 K 0.000 0.000 0.000 1
Na1 Na 0.000 0.000 0.500 1
H1 H 0.212 0.288 0.250 1
Pd1 Pd 0.000 0.500 0.250 1
# Crystal system   tetragonal

[9]
# KNaH2Pd (GGA-PBE, relaxed)
data_KNaH2Pd
_chemical_formula_sum 'K2 Na2 H4 Pd2'
_space_group_name_H-M_alt 'I 4 m m'
_space_group_IT_number 107
_space_group_name_Hall 'I 4 -2'
_cell_length_a 3.801
_cell_length_b 3.801
_cell_length_c 12.005
_cell_angle_alpha 90.00
_cell_angle_beta 90.00
_cell_angle_gamma 90.00
loop_
_atom_site_label
_atom_site_type_symbol
_atom_site_fract_x
_atom_site_fract_y
_atom_site_fract_z
_atom_site_occupancy
K1 K 0.000 0.000 0.000 1
Na1 Na 0.000 0.000 0.729 1
H1 H 0.000 0.000 0.210 1
H2 H 0.000 0.000 0.494 1
Pd1 Pd 0.000 0.000 0.349 1
# Crystal system   tetragonal

[10]
# K2NaH6Pd (GGA-PBE, relaxed)
data_K2NaH6Pd
_chemical_formula_sum 'K8 Na4 H24 Pd4'
_space_group_name_H-M_alt 'F m -3 m'
_space_group_IT_number 225
_space_group_name_Hall '-F 4 2 3'
_cell_length_a 7.994
_cell_length_b 7.994
_cell_length_c 7.994
_cell_angle_alpha 90.00
_cell_angle_beta 90.00
_cell_angle_gamma 90.00
loop_
_atom_site_label
_atom_site_type_symbol
_atom_site_fract_x
_atom_site_fract_y
_atom_site_fract_z
_atom_site_occupancy
K1 K 0.250 0.250 0.250 1
Na1 Na 0.000 0.000 0.000 1
H1 H 0.000 0.000 0.287 1
Pd1 Pd 0.000 0.000 0.500 1
# Crystal system   cubic

[11]
# KNaReH9 (GGA-PBE, relaxed)
data_KNaReH9
_chemical_formula_sum 'K4 Na4 Re4 H36'
_space_group_name_H-M_alt 'P n m a'
_space_group_IT_number 62
_space_group_name_Hall '-P 2ac 2n'
_cell_length_a 8.849
_cell_length_b 5.269
_cell_length_c 9.762
_cell_angle_alpha 90.00
_cell_angle_beta 90.00
_cell_angle_gamma 90.00
loop_
_atom_site_label
_atom_site_type_symbol
_atom_site_fract_x
_atom_site_fract_y
_atom_site_fract_z
_atom_site_occupancy
K1 K 0.023 0.250 0.177 1
Na1 Na 0.140 0.250 0.579 1
Re1 Re 0.228 0.750 0.386 1
H1 H 0.085 0.250 0.857 1
H2 H 0.093 0.521 0.402 1
H3 H 0.110 0.750 0.251 1
H4 H 0.163 0.750 0.549 1
H5 H 0.183 0.018 0.979 1
H6 H 0.227 0.018 0.771 1
# Crystal system   orthorhombic
# Total moment   0.00 Bohr magnetons per cell

[12]
# K2NaTcH6 (GGA-PBE, relaxed)
data_K2NaTcH6
_chemical_formula_sum 'K4 Na2 Tc2 H12'
_space_group_name_H-M_alt 'I 4/m'
_space_group_IT_number 87
_space_group_name_Hall '-I 4'
_cell_length_a 5.706
_cell_length_b 5.706
_cell_length_c 8.145
_cell_angle_alpha 90.00
_cell_angle_beta 90.00
_cell_angle_gamma 90.00
loop_
_atom_site_label
_atom_site_type_symbol
_atom_site_fract_x
_atom_site_fract_y
_atom_site_fract_z
_atom_site_occupancy
K1 K 0.000 0.500 0.250 1
Na1 Na 0.000 0.000 0.000 1
Tc1 Tc 0.000 0.000 0.500 1
H1 H 0.000 0.000 0.280 1
H2 H 0.217 0.774 0.500 1
# Crystal system   tetragonal
# Total moment   4.00 Bohr magnetons per cell

What calculated density values result from the calculations? In sequence: 2.946, 2.488, 4.046, 3.367, 2.282, 2.290, 3.861, 2.651, 3.265, 2.778, 3.756, 2.570 g cm⁻³.
What electronic total energy values result from the calculations? In sequence: -3.470, -3.523, -3.757, -4.347, -5.285, -3.090, -3.628, -3.260, -3.095, -3.086, -4.012, -3.479 eV per atom.